Arrangement one

# Zr2Mn2Cu

A geometry-optimized Zr2Mn2Cu structure (GGA-PBE, Alexandria via LeMat-Bulk).

Cell: 8.7167 8.7167 8.7167 Å, 159.25 159.25 29.51°
Closest atoms and distances in Å follow each position.
Atoms (fractional coordinates):
Zr 0.1080 0.1080 0.0000  4 Mn 2.86, 4 Cu 2.87, 4 Zr 3.14
Zr 0.8920 0.8920 0.0000  4 Mn 2.86, 4 Cu 2.87, 4 Zr 3.14
Mn 0.2500 0.7500 0.5000  4 Mn 2.22
Mn 0.7500 0.2500 0.5000  4 Mn 2.22
Cu 0.5000 0.5000 0.0000  8 Zr 2.87, 4 Cu 3.14

Summary:
N(E_F): 1.0157 states/eV per atom

---

Arrangement two

# Zr2Mn2Cu

A geometry-optimized Zr2Mn2Cu structure (GGA-PBE, Alexandria via LeMat-Bulk).

Cell: 6.4059 6.4059 3.9507 Å, 90.00 90.00 90.00°
Closest atoms and distances in Å follow each position.
Atoms (fractional coordinates):
Zr 0.1842 0.3158 0.0000  6 Mn 2.70-2.78
Zr 0.3158 0.8158 0.0000  6 Mn 2.70-2.78
Zr 0.6842 0.1842 0.0000  6 Mn 2.70-2.78
Zr 0.8158 0.6842 0.0000  6 Mn 2.70-2.78
Mn 0.1125 0.6125 0.5000  1 Mn 2.04
Mn 0.3875 0.1125 0.5000  1 Mn 2.04
Mn 0.6125 0.8875 0.5000  1 Mn 2.04
Mn 0.8875 0.3875 0.5000  1 Mn 2.04
Cu 0.0000 0.0000 0.5000  4 Mn 2.58
Cu 0.5000 0.5000 0.5000  4 Mn 2.58

Summary:
N(E_F): 0.8685 states/eV per atom

---

arrangement two comes first in stability; the runner-up is 185 meV/atom higher.

---

Arrangement one

# Cu4Mo5

A geometry-optimized Cu4Mo5 structure (GGA-PBE, Alexandria via LeMat-Bulk).

Cell: 6.1919 6.1919 6.1919 Å, 94.96 94.96 145.81°
Closest atoms and distances in Å follow each position.
Atoms (fractional coordinates):
Cu 0.0000 0.3438 0.3438  5 Cu 2.59-2.61, 7 Mo 2.73-2.88
Cu 0.0000 0.6562 0.6562  5 Cu 2.59-2.61, 7 Mo 2.73-2.88
Cu 0.3438 0.0000 0.3438  5 Cu 2.59-2.61, 7 Mo 2.73-2.88
Cu 0.6562 0.0000 0.6562  5 Cu 2.59-2.61, 7 Mo 2.73-2.88
Mo 0.0000 0.0000 0.0000  8 Mo 2.71, 4 Cu 2.88
Mo 0.3299 0.3299 0.6598  6 Mo 2.63-2.85, 6 Cu 2.73-2.76
Mo 0.3299 0.6701 0.0000  6 Mo 2.63-2.85, 6 Cu 2.73-2.76
Mo 0.6701 0.3299 0.0000  6 Mo 2.63-2.85, 6 Cu 2.73-2.76
Mo 0.6701 0.6701 0.3402  6 Mo 2.63-2.85, 6 Cu 2.73-2.76

Summary:
N(E_F): 0.8107 states/eV per atom

---

Arrangement two

# Cu4Mo5

A geometry-optimized Cu4Mo5 structure (GGA-PBE, Alexandria via LeMat-Bulk).

Cell: 7.5199 7.5199 5.2688 Å, 90.00 90.00 120.00°
Closest atoms and distances in Å follow each position.
Atoms (fractional coordinates):
Cu 0.0000 0.0000 0.0000  8 Cu 2.63-2.77, 6 Mo 2.89
Cu 0.0000 0.0000 0.5000  8 Cu 2.63-2.77, 6 Mo 2.89
Cu 0.0000 0.3242 0.2500  5 Mo 2.51-2.64, 2 Cu 2.77
Cu 0.0000 0.6758 0.7500  5 Mo 2.51-2.64, 2 Cu 2.77
Cu 0.3242 0.0000 0.2500  5 Mo 2.51-2.64, 2 Cu 2.77
Cu 0.3242 0.3242 0.7500  5 Mo 2.51-2.64, 2 Cu 2.77
Cu 0.6758 0.0000 0.7500  5 Mo 2.51-2.64, 2 Cu 2.77
Cu 0.6758 0.6758 0.2500  5 Mo 2.51-2.64, 2 Cu 2.77
Mo 0.0000 0.3421 0.7500  5 Cu 2.51-2.64, 4 Mo 2.80
Mo 0.0000 0.6579 0.2500  5 Cu 2.51-2.64, 4 Mo 2.80
Mo 0.3333 0.6667 0.0000  8 Mo 2.63-2.80, 6 Cu 2.86
Mo 0.3333 0.6667 0.5000  8 Mo 2.63-2.80, 6 Cu 2.86
Mo 0.3421 0.0000 0.7500  5 Cu 2.51-2.64, 4 Mo 2.80
Mo 0.3421 0.3421 0.2500  5 Cu 2.51-2.64, 4 Mo 2.80
Mo 0.6579 0.0000 0.2500  5 Cu 2.51-2.64, 4 Mo 2.80
Mo 0.6579 0.6579 0.7500  5 Cu 2.51-2.64, 4 Mo 2.80
Mo 0.6667 0.3333 0.0000  8 Mo 2.63-2.80, 6 Cu 2.86
Mo 0.6667 0.3333 0.5000  8 Mo 2.63-2.80, 6 Cu 2.86

Summary:
N(E_F): 0.7298 states/eV per atom

---

arrangement one comes first in stability; the runner-up is 161 meV/atom higher.

---

Arrangement one

# CuMo4

A geometry-optimized CuMo4 structure (GGA-PBE, Alexandria via LeMat-Bulk).

Cell: 6.2452 6.2452 6.2452 Å, 141.60 141.60 55.43°
Closest atoms and distances in Å follow each position.
Atoms (fractional coordinates):
Cu 0.0000 0.0000 0.0000  16 Mo 3.17-3.44
Mo 0.2500 0.7500 0.5000  4 Mo 2.53
Mo 0.3843 0.3843 0.0000  5 Mo 2.53-2.56
Mo 0.6157 0.6157 0.0000  5 Mo 2.53-2.56
Mo 0.7500 0.2500 0.5000  4 Mo 2.53

Summary:
N(E_F): 0.7843 states/eV per atom

---

Arrangement two

# CuMo4

A geometry-optimized CuMo4 structure (GGA-PBE, Alexandria via LeMat-Bulk).

Cell: 4.4670 4.4670 4.4670 Å, 90.00 90.00 90.00°
Closest atoms and distances in Å follow each position.
Atoms (fractional coordinates):
Cu 0.0000 0.0000 0.0000  6 Mo 2.23
Mo 0.0000 0.0000 0.5000  2 Cu 2.23
Mo 0.0000 0.5000 0.0000  2 Cu 2.23
Mo 0.5000 0.0000 0.0000  2 Cu 2.23
Mo 0.5000 0.5000 0.5000  12 Mo 3.16

Summary:
N(E_F): 1.5753 states/eV per atom

---

arrangement one comes first in stability; the runner-up is 720 meV/atom higher.